w) DFT (GGA-PBE) results for a relaxed PdRhAu2 crystal.

Results
* N(E_F): 4.9 states/eV/f.u.
* space-group type: R-3m, No. 166

Unit cell a=10.408 b=10.408 c=10.408 alpha=15.37 beta=15.37 gamma=15.37
Element x y z (fractional)
Pd 0.000 0.000 0.000
Rh 0.500 0.500 0.500
Au 0.412 0.412 0.412
Au 0.588 0.588 0.588


x) DFT (GGA-PBE) results for a relaxed PdRhAu2 crystal.

Results
* N(E_F): 6.1 states/eV/f.u.
* space-group type: I-42d, No. 122

Unit cell a=5.826 b=5.826 c=5.826 alpha=102.70 beta=102.70 gamma=124.09
Element x y z (fractional)
Pd 0.000 0.000 0.000
Pd 0.750 0.250 0.500
Rh 0.250 0.750 0.500
Rh 0.500 0.500 0.000
Au 0.129 0.625 0.004
Au 0.375 0.379 0.504
Au 0.621 0.125 0.996
Au 0.875 0.871 0.496


Stability, highest: w)


w) DFT (GGA-PBE) results for a relaxed PdRhAu3 crystal.

Results
* N(E_F): 5.5 states/eV/f.u.
* space-group type: Pm-3m, No. 221

Unit cell a=4.972 b=4.972 c=4.972 alpha=90.00 beta=90.00 gamma=90.00
Element x y z (fractional)
Pd 0.000 0.000 0.000
Rh 0.500 0.500 0.500
Au 0.000 0.000 0.500
Au 0.000 0.500 0.000
Au 0.500 0.000 0.000


x) DFT (GGA-PBE) results for a relaxed PdRhAu3 crystal.

Results
* N(E_F): 7.7 states/eV/f.u.
* space-group type: Pm-3m, No. 221

Unit cell a=4.967 b=4.967 c=4.967 alpha=90.00 beta=90.00 gamma=90.00
Element x y z (fractional)
Pd 0.000 0.000 0.000
Rh 0.500 0.500 0.500
Au 0.000 0.500 0.500
Au 0.500 0.000 0.500
Au 0.500 0.500 0.000


Stability, highest: x)


w) DFT (GGA-PBE) results for a relaxed Pd8RhAu2 crystal.

Results
* N(E_F): 19.8 states/eV/f.u.
* space-group type: C2/m, No. 12

Unit cell a=6.685 b=6.685 c=4.750 alpha=101.93 beta=101.93 gamma=84.67
Element x y z (fractional)
Pd 0.071 0.071 0.291
Pd 0.169 0.667 0.193
Pd 0.223 0.223 0.877
Pd 0.333 0.831 0.807
Pd 0.667 0.169 0.193
Pd 0.777 0.777 0.123
Pd 0.831 0.333 0.807
Pd 0.929 0.929 0.709
Rh 0.500 0.500 0.000
Au 0.353 0.353 0.451
Au 0.647 0.647 0.549


x) DFT (GGA-PBE) results for a relaxed Pd8RhAu2 crystal.

Results
* N(E_F): 19.8 states/eV/f.u.
* space-group type: C2/m, No. 12

Unit cell a=7.446 b=7.446 c=6.310 alpha=104.74 beta=104.74 gamma=30.90
Element x y z (fractional)
Pd 0.045 0.045 0.228
Pd 0.226 0.226 0.136
Pd 0.320 0.320 0.594
Pd 0.411 0.411 0.047
Pd 0.589 0.589 0.953
Pd 0.680 0.680 0.406
Pd 0.774 0.774 0.864
Pd 0.955 0.955 0.772
Rh 0.500 0.500 0.500
Au 0.137 0.137 0.681
Au 0.863 0.863 0.319


Stability, highest: x)